# 1
A relaxed structure of AcPmY6. Source: the Alexandria database, functional GGA-PBE.

## Properties
* volume: 37.7 Å³ per atom
* calculated formation energy: 0.393 eV/atom
* density: 4.984 g/cm3
* density of states at the Fermi level: 2.075 states/eV/atom
* energy: -89.00 eV per cell
* E above lowest polymorph: 248.9 meV per atom
* crystal system: monoclinic

Geometry as CIF:
```
data_AcPmY6
_space_group_name_H-M_alt 'C 1 2/m 1'
_space_group_IT_number 12
_cell_length_a 9.727
_cell_length_b 7.052
_cell_length_c 9.023
_cell_angle_alpha 90.00
_cell_angle_beta 102.86
_cell_angle_gamma 90.00
loop_
_space_group_symop_operation_xyz
'x,y,z'
'-x,-y,-z'
'-x,y,-z'
'x,-y,z'
'x+1/2,y+1/2,z'
'-x+1/2,-y+1/2,-z'
'-x+1/2,y+1/2,-z'
'x+1/2,-y+1/2,z'
loop_
_atom_site_label
_atom_site_fract_x
_atom_site_fract_y
_atom_site_fract_z
Ac1 0.000 0.000 0.000
Pm1 0.000 0.500 0.500
Y1 0.122 0.500 0.919
Y2 0.215 0.260 0.300
```



# 2
A relaxed structure of Ca2MoP. Source: the Alexandria database, functional GGA-PBE.

## Properties
* volume: 20.3 Å³ per atom
* calculated formation energy: 0.333 eV/atom
* density: 4.231 g/cm3
* density of states at the Fermi level: 0.778 states/eV/atom
* energy: -37.82 eV per cell
* crystal system: tetragonal

Geometry as CIF:
```
data_Ca2MoP
_space_group_name_H-M_alt 'I 4/m m m'
_space_group_IT_number 139
_space_group_name_Hall '-I 4 2'
_cell_length_a 4.256
_cell_length_b 4.256
_cell_length_c 8.972
_cell_angle_alpha 90.00
_cell_angle_beta 90.00
_cell_angle_gamma 90.00
loop_
_atom_site_label
_atom_site_fract_x
_atom_site_fract_y
_atom_site_fract_z
Ca1 0.000 0.500 0.250
Mo1 0.000 0.000 0.000
P1 0.000 0.000 0.500
```



# 3
A relaxed structure of LiYCoSe2. Source: the Alexandria database, functional GGA-PBE.

## Properties
* formation energy (no corrections): -0.261 eV per atom
* volume: 22.4 Å³ per atom
* density: 4.635 g/cm3
* density of states at the Fermi level: 0.690 states/eV/atom
* energy: -23.76 eV per cell
* crystal system: tetragonal

Geometry as CIF:
```
data_LiYCoSe2
_space_group_name_H-M_alt 'P 4/m m m'
_space_group_IT_number 123
_space_group_name_Hall '-P 4 2'
_cell_length_a 4.929
_cell_length_b 4.929
_cell_length_c 4.611
_cell_angle_alpha 90.00
_cell_angle_beta 90.00
_cell_angle_gamma 90.00
loop_
_atom_site_label
_atom_site_fract_x
_atom_site_fract_y
_atom_site_fract_z
Li1 0.000 0.000 0.000
Y1 0.500 0.500 0.000
Co1 0.500 0.500 0.500
Se1 0.000 0.500 0.500
```



# 4
A relaxed structure of K2CaPt. Source: the Alexandria database, functional GGA-PBE.

## Properties
* volume: 47.1 Å³ per atom
* calculated formation energy: -0.033 eV/atom
* density: 2.760 g/cm3
* density of states at the Fermi level: 0.191 states/eV/atom
* energy: -41.48 eV per cell
* E above lowest polymorph: 222.8 meV per atom
* crystal system: tetragonal

Geometry as CIF:
```
data_K2CaPt
_space_group_name_H-M_alt 'I -4 2 d'
_space_group_IT_number 122
_space_group_name_Hall 'I -4 2bw'
_cell_length_a 11.721
_cell_length_b 11.721
_cell_length_c 5.490
_cell_angle_alpha 90.00
_cell_angle_beta 90.00
_cell_angle_gamma 90.00
loop_
_atom_site_label
_atom_site_fract_x
_atom_site_fract_y
_atom_site_fract_z
K1 0.111 0.250 0.125
Ca1 0.000 0.000 0.500
Pt1 0.000 0.000 0.000
```



Q: Which of these has the lowest energy?
A: AcPmY6